Material: MgPt2WO
Method: DFT, GGA+U
State: relaxed

Geometry as POSCAR:
```
MgPt2WO
1.0
-1.714 -4.053 1.335
2.681 -1.855 -2.191
2.891 -0.045 3.576
W O Pt Mg
1 1 2 1
direct
0.000 0.500 0.000
0.000 0.000 0.000
0.500 0.000 0.000
0.000 0.000 0.500
0.500 0.500 0.500
```

Output
Total magnetic moment (μB/f.u.): 2.09
Electronic total energy (eV per cell): -25.6